Entry 1:
Material: BaLi2CoGe
Method: DFT, GGA-PBE
State: optimized geometry

The structure in CIF format:
```
data_BaLi2CoGe
_chemical_formula_sum 'Ba1 Li2 Co1 Ge1'
_cell_length_a 4.9233
_cell_length_b 4.9233
_cell_length_c 4.5374
_cell_angle_alpha 90.00
_cell_angle_beta 90.00
_cell_angle_gamma 90.00
_space_group_name_H-M_alt 'P 4/m m m'
_space_group_IT_number 123
_space_group_name_Hall '-P 4 2'
loop_
_atom_site_label
_atom_site_fract_x
_atom_site_fract_y
_atom_site_fract_z
_atom_site_occupancy
Ba1 0.0000 0.0000 0.0000 1
Li1 0.0000 0.5000 0.5000 1
Co1 0.5000 0.5000 0.5000 1
Ge1 0.5000 0.5000 0.0000 1
```

Summary:
Formation energy from the elements   -0.5 eV/f.u.
N(E_F)   1.849 states/eV per cell

Entry 2:
Material: BaMg2CoGe
Method: DFT, GGA-PBE
State: optimized geometry

The structure in CIF format:
```
data_BaMg2CoGe
_chemical_formula_sum 'Ba1 Mg2 Co1 Ge1'
_cell_length_a 5.0055
_cell_length_b 5.0055
_cell_length_c 4.6258
_cell_angle_alpha 90.00
_cell_angle_beta 90.00
_cell_angle_gamma 90.00
_space_group_name_H-M_alt 'P 4/m m m'
_space_group_IT_number 123
_space_group_name_Hall '-P 4 2'
loop_
_atom_site_label
_atom_site_fract_x
_atom_site_fract_y
_atom_site_fract_z
_atom_site_occupancy
Ba1 0.0000 0.0000 0.0000 1
Mg1 0.0000 0.5000 0.5000 1
Co1 0.5000 0.5000 0.5000 1
Ge1 0.5000 0.5000 0.0000 1
```

Summary:
Formation energy from the elements   -0.9 eV/f.u.
N(E_F)   3.788 states/eV per cell

Entry 3:
Material: Ba2Co2Ge2N
Method: DFT, GGA-PBE
State: optimized geometry

The structure in CIF format:
```
data_Ba2Co2Ge2N
_chemical_formula_sum 'Ba4 Co4 Ge4 N2'
_cell_length_a 12.0933
_cell_length_b 4.1512
_cell_length_c 7.6351
_cell_angle_alpha 90.00
_cell_angle_beta 126.97
_cell_angle_gamma 90.00
_space_group_name_H-M_alt 'C 1 2/m 1'
_space_group_IT_number 12
loop_
_space_group_symop_operation_xyz
'x,y,z'
'-x,-y,-z'
'-x,y,-z'
'x,-y,z'
'x+1/2,y+1/2,z'
'-x+1/2,-y+1/2,-z'
'-x+1/2,y+1/2,-z'
'x+1/2,-y+1/2,z'
loop_
_atom_site_label
_atom_site_fract_x
_atom_site_fract_y
_atom_site_fract_z
_atom_site_occupancy
Ba1 0.0559 0.0000 0.3126 1
Co1 0.1682 0.5000 0.0864 1
Ge1 0.2121 0.5000 0.8121 1
N1 0.0000 0.5000 0.0000 1
```

Summary:
N(E_F)   9.373 states/eV per cell
ΔE_f (raw)   -0.47 eV per atom

Entry 4:
Material: BaCo2GeN
Method: DFT, GGA-PBE
State: optimized geometry

The structure in CIF format:
```
data_BaCo2GeN
_chemical_formula_sum 'Ba4 Co8 Ge4 N4'
_cell_length_a 4.2527
_cell_length_b 11.0805
_cell_length_c 6.9007
_cell_angle_alpha 90.00
_cell_angle_beta 90.00
_cell_angle_gamma 90.00
_space_group_name_H-M_alt 'C m c m'
_space_group_IT_number 63
_space_group_name_Hall '-C 2c 2'
loop_
_atom_site_label
_atom_site_fract_x
_atom_site_fract_y
_atom_site_fract_z
_atom_site_occupancy
Ba1 0.0000 0.0584 0.2500 1
Co1 0.0000 0.3472 0.0608 1
Ge1 0.0000 0.2248 0.7500 1
N1 0.0000 0.5000 0.0000 1
```

Summary:
N(E_F)   14.249 states/eV per cell
ΔE_f (raw)   -0.24 eV per atom

Entry 5:
Material: BaNaCoGe
Method: DFT, GGA-PBE
State: optimized geometry

The structure in CIF format:
```
data_BaNaCoGe
_chemical_formula_sum 'Ba2 Na2 Co2 Ge2'
_cell_length_a 4.2377
_cell_length_b 4.2377
_cell_length_c 12.7881
_cell_angle_alpha 90.00
_cell_angle_beta 90.00
_cell_angle_gamma 90.00
_space_group_name_H-M_alt 'P 4/n m m'
_space_group_IT_number 129
loop_
_space_group_symop_operation_xyz
'x,y,z'
'-x,-y,-z'
'-y+1/2,x,z'
'y+1/2,-x,-z'
'-x+1/2,-y+1/2,z'
'x+1/2,y+1/2,-z'
'y,-x+1/2,z'
'-y,x+1/2,-z'
'x+1/2,-y,-z'
'-x+1/2,y,z'
'-y,-x,-z'
'y,x,z'
'-x,y+1/2,-z'
'x,-y+1/2,z'
'y+1/2,x+1/2,-z'
'-y+1/2,-x+1/2,z'
loop_
_atom_site_label
_atom_site_fract_x
_atom_site_fract_y
_atom_site_fract_z
_atom_site_occupancy
Ba1 0.2500 0.2500 0.2104 1
Na1 0.2500 0.7500 0.5000 1
Co1 0.2500 0.7500 0.0000 1
Ge1 0.2500 0.2500 0.9154 1
```

Summary:
Formation energy from the elements   -0.9 eV/f.u.
N(E_F)   6.239 states/eV per cell

Entry 6:
Material: BaCoNiGe2
Method: DFT, GGA-PBE
State: optimized geometry

The structure in CIF format:
```
data_BaCoNiGe2
_chemical_formula_sum 'Ba2 Co2 Ni2 Ge4'
_cell_length_a 4.1569
_cell_length_b 4.1569
_cell_length_c 11.8099
_cell_angle_alpha 90.00
_cell_angle_beta 90.00
_cell_angle_gamma 90.00
_space_group_name_H-M_alt 'I -4 m 2'
_space_group_IT_number 119
_space_group_name_Hall 'I -4 -2'
loop_
_atom_site_label
_atom_site_fract_x
_atom_site_fract_y
_atom_site_fract_z
_atom_site_occupancy
Ba1 0.0000 0.0000 0.0000 1
Co1 0.0000 0.5000 0.2500 1
Ni1 0.0000 0.5000 0.7500 1
Ge1 0.0000 0.0000 0.3434 1
```

Summary:
Formation energy from the elements   -2.0 eV/f.u.
N(E_F)   6.559 states/eV per cell